# Mg14NbMo

Crystalline Mg14NbMo at its relaxed geometry (GGA-PBE, Alexandria).

The structure in POSCAR format:
```
Mg14NbMo
1.0
3.039 -5.507 0.000
3.039 5.507 0.000
0.000 0.000 10.098
Mg Nb Mo
14 1 1
direct
0.834 0.166 0.000
0.332 0.668 0.000
0.331 0.174 0.500
0.331 0.168 0.000
0.826 0.669 0.500
0.832 0.669 0.000
0.167 0.337 0.263
0.167 0.337 0.737
0.663 0.833 0.263
0.663 0.833 0.737
0.674 0.326 0.254
0.674 0.326 0.746
0.176 0.824 0.263
0.176 0.824 0.737
0.827 0.173 0.500
0.328 0.672 0.500
```

For the calculated formation energy, the calculation gives 2.1 eV per formula unit. For the total energy, the calculation gives -2.567 eV per atom. Its total magnetization is 0.0 Bohr magnetons per cell.